Computed, not measured: a relaxed La5Dy2Er4 crystal at the PBE level of DFT.

a b c (Å): 17.884 3.576 11.549
angles (deg): 90.00 94.16 90.00
Space group C2/m (No. 12)
Asymmetric unit:
La  0.000  0.000  0.000 [2 per cell]
La  0.097  0.500  0.535 [4 per cell]
La  0.177  0.500  0.073 [4 per cell]
Dy  0.216  0.000  0.351 [4 per cell]
Er  0.035  0.500  0.261 [4 per cell]
Er  0.140  0.000  0.797 [4 per cell]

Summary:
M_tot, μB per formula unit: 0.0
Mass density, g/cm3: 7.61
Formation energy, eV per atom: 0.0824
ΔE to the lowest computed polymorph, meV per atom: 0.0

Computed, not measured: a relaxed LaDyEr crystal at the PBE level of DFT.

a b c (Å): 3.6029 3.6029 8.7785
angles (deg): 90.00 90.00 120.00
Space group P3m1 (No. 156)
Asymmetric unit:
La  0.0000  0.0000  0.0000 [1 per cell]
Dy  0.6667  0.3333  0.3411 [1 per cell]
Er  0.3333  0.6667  0.6621 [1 per cell]

Summary:
M_tot, μB per formula unit: 0.0
Mass density, g/cm3: 7.89
Formation energy, eV per atom: 0.0218
ΔE to the lowest computed polymorph, meV per atom: 0.0

Computed, not measured: a relaxed La2DyEr12 crystal at the PBE level of DFT.

a b c (Å): 6.410 6.410 24.901
angles (deg): 90.00 90.00 90.00
Space group P4/nbm (No. 125, origin choice 2)
Asymmetric unit:
La  0.250  0.750  0.228 [4 per cell]
Dy  0.250  0.750  0.500 [2 per cell]
Er  0.063  0.563  0.385 [8 per cell]
Er  0.081  0.581  0.060 [8 per cell]
Er  0.250  0.250  0.159 [4 per cell]
Er  0.250  0.250  0.286 [4 per cell]

Summary:
M_tot, μB per formula unit: 0.0
Mass density, g/cm3: 7.94
Formation energy, eV per atom: 0.3295

Computed, not measured: a relaxed LaDy8Er3 crystal at the PBE level of DFT.

a b c (Å): 6.392 11.333 11.381
angles (deg): 90.00 90.00 90.00
Space group Immm (No. 71)
Asymmetric unit:
La  0.000  0.000  0.000 [2 per cell]
Dy  0.000  0.170  0.251 [8 per cell]
Dy  0.244  0.260  0.000 [8 per cell]
Er  0.000  0.000  0.500 [2 per cell]
Er  0.000  0.500  0.238 [4 per cell]

Summary:
M_tot, μB per formula unit: 0.0
Mass density, g/cm3: 7.82
Formation energy, eV per atom: 0.3324

Computed, not measured: a relaxed La9DyEr4 crystal at the PBE level of DFT.

a b c (Å): 10.0356 10.0356 11.4875
angles (deg): 90.00 90.00 120.00
Space group P6_3/mmc (No. 194)
Asymmetric unit:
La  0.0778  0.5389  0.2500 [6 per cell]
La  0.2070  0.4141  0.5293 [12 per cell]
Dy  0.3333  0.6667  0.7500 [2 per cell]
Er  0.0000  0.0000  0.0000 [2 per cell]
Er  0.1090  0.2181  0.2500 [6 per cell]

Summary:
M_tot, μB per formula unit: 0.0
Mass density, g/cm3: 6.90
Formation energy, eV per atom: 0.1438

Computed, not measured: a relaxed La3Dy3Er8 crystal at the PBE level of DFT.

a b c (Å): 5.657 10.769 15.150
angles (deg): 90.00 90.00 90.00
Space group Immm (No. 71)
Asymmetric unit:
La  0.000  0.000  0.000 [2 per cell]
La  0.000  0.500  0.314 [4 per cell]
Dy  0.000  0.000  0.500 [2 per cell]
Dy  0.000  0.296  0.500 [4 per cell]
Er  0.000  0.162  0.281 [8 per cell]
Er  0.000  0.342  0.102 [8 per cell]

Summary:
M_tot, μB per formula unit: 0.0
Mass density, g/cm3: 8.07
Formation energy, eV per atom: 0.1046

Computed, not measured: a relaxed La2Dy3Er5 crystal at the PBE level of DFT.

a b c (Å): 10.883 14.493 9.680
angles (deg): 90.00 117.82 90.00
Space group C2/c (No. 15)
Asymmetric unit:
La  0.170  0.124  0.045 [8 per cell]
Dy  0.000  0.274  0.750 [4 per cell]
Dy  0.171  0.373  0.577 [8 per cell]
Er  0.000  0.033  0.250 [4 per cell]
Er  0.000  0.251  0.250 [4 per cell]
Er  0.000  0.497  0.250 [4 per cell]
Er  0.205  0.125  0.680 [8 per cell]

Summary:
M_tot, μB per formula unit: 0.0
Mass density, g/cm3: 7.88
Formation energy, eV per atom: 0.2151

Computed, not measured: a relaxed La3Dy2Er crystal at the PBE level of DFT.

a b c (Å): 5.935 17.814 3.890
angles (deg): 90.00 90.00 90.00
Space group Cmmm (No. 65)
Asymmetric unit:
La  0.000  0.000  0.000 [2 per cell]
La  0.000  0.335  0.000 [4 per cell]
Dy  0.000  0.167  0.500 [4 per cell]
Er  0.000  0.500  0.500 [2 per cell]

Summary:
M_tot, μB per formula unit: 0.0
Mass density, g/cm3: 7.34
Formation energy, eV per atom: 0.0757
ΔE to the lowest computed polymorph, meV per atom: 0.0